## a
{"formula": "Bi2PtI", "functional": "GGA-PBE", "state": "relaxed", "dos_at_fermi_per_ev_atom": 0.753, "space_group": "I-42d, No. 122", "cell": [[7.3703, 0.0000, 0.0000], [0.0000, 7.3703, 0.0000], [3.6852, 3.6852, 5.6937]], "species": ["Bi", "Bi", "Bi", "I", "Pt", "Pt", "Bi", "I"], "fractional_positions": [[0.8750, 0.9522, 0.7500], [0.3750, 0.2978, 0.7500], [0.7022, 0.1250, 0.2500], [0.5000, 0.5000, 0.0000], [0.7500, 0.2500, 0.5000], [0.0000, 0.0000, 0.0000], [0.0478, 0.6250, 0.2500], [0.2500, 0.7500, 0.5000]]}

## b
{"formula": "Bi2PtI", "functional": "GGA-PBE", "state": "relaxed", "dos_at_fermi_per_ev_atom": 0.296, "space_group": "C2/c, No. 15", "cell": [[4.5876, 0.2744, 1.4505], [2.0672, 7.5557, 0.6536], [-0.1458, 0.1372, 8.4412]], "species": ["Bi", "Bi", "Bi", "Pt", "I", "I", "Pt", "Bi"], "fractional_positions": [[0.8528, 0.3765, 0.6672], [0.4801, 0.1235, 0.6672], [0.1472, 0.6235, 0.3328], [0.6893, 0.7500, 0.6214], [0.9138, 0.2500, 0.1723], [0.0862, 0.7500, 0.8277], [0.3107, 0.2500, 0.3786], [0.5199, 0.8765, 0.3328]]}

Preferred: b; penalty for the next structure: 116 meV per atom.